The following is a DFT calculation (PBEsol) of crystalline CrTeW2 at its relaxed geometry.

Unit cell a=3.064 b=3.064 c=6.773 alpha=90.00 beta=90.00 gamma=90.00
Atoms (fractional coordinates):
W 0.000 0.000 0.216
W 0.000 0.000 0.784
Te 0.500 0.500 0.500
Cr 0.500 0.500 0.000

For the formation energy (no corrections), the calculation gives 0.56 eV per atom. The total DFT energy (no corrections) comes out at -9.788 eV per atom. The magnetization is 0.0 μB per cell. Its space group is P4/mmm, No. 123. Its density of states at the Fermi level is 3.310 states/eV per cell.